[1]
The following is a meta-GGA SCAN calculation of Zr2P at its PBEsol-relaxed geometry, from Alexandria via LeMat-Bulk.

## Properties
- E (Ry per atom) = -1.8427
- ΔH_f (0 K) (eV per formula unit) = -3.42
- DOS at the Fermi energy (states/eV/f.u.) = 1.51

The structure in CIF format:
```
data_Zr2P
_symmetry_space_group_name_H-M 'P 1'
_symmetry_Int_Tables_number 1
_symmetry_space_group_name_Hall 'P 1'
_cell_length_a 5.216
_cell_length_b 5.216
_cell_length_c 5.216
_cell_angle_alpha 104.97
_cell_angle_beta 104.97
_cell_angle_gamma 118.90
loop_
_atom_site_label
_atom_site_type_symbol
_atom_site_fract_x
_atom_site_fract_y
_atom_site_fract_z
P1 P 0.750 0.750 0.000
P2 P 0.250 0.250 0.000
Zr1 Zr 0.838 0.338 0.176
Zr2 Zr 0.162 0.662 0.824
Zr3 Zr 0.338 0.162 0.500
Zr4 Zr 0.662 0.838 0.500
```

---

[2]
The following is a meta-GGA SCAN calculation of Zr4P at its PBEsol-relaxed geometry, from Alexandria via LeMat-Bulk.

## Properties
- E (Ry per atom) = -1.9305
- E above lowest polymorph (eV/atom) = 0.751
- ΔH_f (0 K) (eV per formula unit) = 1.86
- DOS at the Fermi energy (states/eV/f.u.) = 6.78

The structure in CIF format:
```
data_Zr4P
_symmetry_space_group_name_H-M 'P 1'
_symmetry_Int_Tables_number 1
_symmetry_space_group_name_Hall 'P 1'
_cell_length_a 3.653
_cell_length_b 3.653
_cell_length_c 8.406
_cell_angle_alpha 102.55
_cell_angle_beta 102.55
_cell_angle_gamma 90.00
loop_
_atom_site_label
_atom_site_type_symbol
_atom_site_fract_x
_atom_site_fract_y
_atom_site_fract_z
P1 P 0.000 0.000 0.000
Zr1 Zr 0.750 0.250 0.500
Zr2 Zr 0.250 0.750 0.500
Zr3 Zr 0.585 0.585 0.170
Zr4 Zr 0.415 0.415 0.830
```

---

[3]
The following is a meta-GGA SCAN calculation of ZrP2 at its PBEsol-relaxed geometry, from Alexandria via LeMat-Bulk.

## Properties
- E (Ry per atom) = -1.3413
- ΔH_f (0 K) (eV per formula unit) = -3.25
- DOS at the Fermi energy (states/eV/f.u.) = 0.41

The structure in CIF format:
```
data_ZrP2
_symmetry_space_group_name_H-M 'P 1'
_symmetry_Int_Tables_number 1
_symmetry_space_group_name_Hall 'P 1'
_cell_length_a 5.121
_cell_length_b 5.121
_cell_length_c 5.121
_cell_angle_alpha 80.10
_cell_angle_beta 65.54
_cell_angle_gamma 114.46
loop_
_atom_site_label
_atom_site_type_symbol
_atom_site_fract_x
_atom_site_fract_y
_atom_site_fract_z
P1 P 0.500 0.638 0.138
P2 P 0.500 0.362 0.862
P3 P 0.777 0.138 0.362
P4 P 0.223 0.862 0.638
Zr1 Zr 0.000 0.250 0.750
Zr2 Zr 0.000 0.750 0.250
```